LaCoTc2 after structural relaxation. Source: the Alexandria database, functional PBE.

Output
- Energy relative to the elements: 165 kJ/mol of formula units
- E above lowest polymorph: 295 meV per atom

Cell: 6.5019 6.5019 6.5019 Å, 90.00 90.00 90.00°
Space group F-43m (No. 216)
Unique sites:
La 0.0000 0.0000 0.0000 x4
Co 0.2500 0.2500 0.7500 x4
Tc 0.0000 0.0000 0.5000 x4
Tc 0.2500 0.2500 0.2500 x4